1.
A relaxed AcIrPd crystal. Source: the Alexandria database, functional PBE. Values from VASP.

The total energy is -19.85 eV for the cell shown. The calculation puts the formation energy at -0.563 eV per atom. The calculation puts the total moment at 0.000 μB/atom. The value obtained for the offset from the most stable computed form is 0.099 eV per atom.

```
&SYSTEM
  ibrav = 0, nat = 3, ntyp = 3
/
ATOMIC_SPECIES
Ac 227.00 Ac.upf
Ir 192.22 Ir.upf
Pd 106.42 Pd.upf
CELL_PARAMETERS angstrom
-1.807 3.590 1.249
-3.986 -1.605 -1.156
1.552 -0.652 4.119
ATOMIC_POSITIONS crystal
Ac 0.667 0.667 0.333
Ir 0.167 0.000 0.000
Pd 0.167 0.333 0.667
```

2.
A relaxed Sm4CdPt2 crystal. Source: the Alexandria database, functional PBE. Values from VASP.

The total energy is -36.65 eV for the cell shown. The calculation puts the formation energy at -0.682 eV per atom. The calculation puts the total moment at 0.000 μB/atom.

```
&SYSTEM
  ibrav = 0, nat = 7, ntyp = 3
/
ATOMIC_SPECIES
Sm 150.36 Sm.upf
Cd 112.41 Cd.upf
Pt 195.08 Pt.upf
CELL_PARAMETERS angstrom
-1.771 3.077 3.253
0.521 -0.902 4.702
8.135 5.650 2.649
ATOMIC_POSITIONS crystal
Sm 0.388 0.388 0.835
Sm 0.202 0.202 0.394
Sm 0.798 0.798 0.606
Sm 0.612 0.612 0.165
Cd 0.000 0.000 0.000
Pt 0.099 0.099 0.703
Pt 0.901 0.901 0.297
```

3.
A relaxed ZnAgPt3 crystal. Source: the Alexandria database, functional PBE. Values from VASP.

The total energy is -42.38 eV for the cell shown. The calculation puts the formation energy at 0.211 eV per atom. The calculation puts the total moment at 0.000 μB/atom. The value obtained for the offset from the most stable computed form is 0.000 eV per atom.

```
&SYSTEM
  ibrav = 0, nat = 10, ntyp = 3
/
ATOMIC_SPECIES
Zn 65.41 Zn.upf
Ag 107.87 Ag.upf
Pt 195.08 Pt.upf
CELL_PARAMETERS angstrom
-0.585 1.592 -4.666
-3.883 -4.903 -1.186
-2.377 5.489 2.171
ATOMIC_POSITIONS crystal
Zn 0.000 0.000 0.000
Zn 0.500 0.000 0.000
Ag 0.750 0.667 0.333
Ag 0.250 0.333 0.667
Pt 0.750 0.610 0.805
Pt 0.250 0.805 0.610
Pt 0.250 0.390 0.195
Pt 0.750 0.195 0.390
Pt 0.250 0.805 0.195
Pt 0.750 0.195 0.805
```

4.
A relaxed NaLi8Mg2 crystal. Source: the Alexandria database, functional PBE. Values from VASP.

The total energy is -19.45 eV for the cell shown. The calculation puts the formation energy at 0.034 eV per atom. The calculation puts the total moment at 0.000 μB/atom. The value obtained for the offset from the most stable computed form is 0.035 eV per atom.

```
&SYSTEM
  ibrav = 0, nat = 11, ntyp = 3
/
ATOMIC_SPECIES
Na 22.99 Na.upf
Li 6.94 Li.upf
Mg 24.30 Mg.upf
CELL_PARAMETERS angstrom
4.893 1.973 0.000
2.878 7.664 0.000
1.439 3.832 7.602
ATOMIC_POSITIONS crystal
Na 0.500 0.000 0.000
Li 0.775 0.103 0.271
Li 0.775 0.374 0.729
Li 0.259 0.484 0.000
Li 0.500 0.795 0.411
Li 0.500 0.205 0.589
Li 0.741 0.516 0.000
Li 0.225 0.626 0.271
Li 0.225 0.897 0.729
Mg 0.000 0.316 0.367
Mg 0.000 0.684 0.633
```

5.
A relaxed ZnCdPt4 crystal. Source: the Alexandria database, functional PBE. Values from VASP.

The total energy is -26.83 eV for the cell shown. The calculation puts the formation energy at -0.080 eV per atom. The calculation puts the total moment at 0.000 μB/atom. The value obtained for the offset from the most stable computed form is 0.224 eV per atom.

```
&SYSTEM
  ibrav = 0, nat = 6, ntyp = 3
/
ATOMIC_SPECIES
Zn 65.41 Zn.upf
Cd 112.41 Cd.upf
Pt 195.08 Pt.upf
CELL_PARAMETERS angstrom
3.728 -3.548 1.328
-0.831 -3.336 4.054
-0.800 -5.171 -0.934
ATOMIC_POSITIONS crystal
Zn 0.250 0.250 0.250
Cd 0.000 0.000 0.000
Pt 0.625 0.625 0.125
Pt 0.625 0.125 0.625
Pt 0.625 0.625 0.625
Pt 0.125 0.625 0.625
```

6.
A relaxed ZrPb2Cl2 crystal. Source: the Alexandria database, functional PBE. Values from VASP.

The total energy is -39.55 eV for the cell shown. The calculation puts the total moment at 0.000 μB/atom. The value obtained for the offset from the most stable computed form is 0.141 eV per atom. The calculation puts the formation energy (no corrections) at -2.2 kJ per mole of atoms.

```
&SYSTEM
  ibrav = 0, nat = 10, ntyp = 3
/
ATOMIC_SPECIES
Pb 207.20 Pb.upf
Zr 91.22 Zr.upf
Cl 35.45 Cl.upf
CELL_PARAMETERS angstrom
-2.996 7.170 4.605
-4.971 2.494 -7.118
-2.635 -1.864 1.187
ATOMIC_POSITIONS crystal
Pb 0.298 0.798 0.000
Pb 0.798 0.702 0.000
Pb 0.702 0.202 0.000
Pb 0.202 0.298 0.000
Zr 0.000 0.000 0.000
Zr 0.500 0.500 0.000
Cl 0.121 0.621 0.500
Cl 0.621 0.879 0.500
Cl 0.879 0.379 0.500
Cl 0.379 0.121 0.500
```

7.
A relaxed ReBr2Cl crystal. Source: the Alexandria database, functional PBE. Values from VASP.

The total energy is -13.39 eV for the cell shown. The calculation puts the total moment at 1.098 μB/atom. The value obtained for the offset from the most stable computed form is 1.126 eV per atom. The calculation puts the formation energy (no corrections) at 102.5 kJ per mole of atoms.

```
&SYSTEM
  ibrav = 0, nat = 4, ntyp = 3
/
ATOMIC_SPECIES
Re 186.21 Re.upf
Br 79.90 Br.upf
Cl 35.45 Cl.upf
CELL_PARAMETERS angstrom
6.871 -0.223 -0.239
-4.907 4.815 -0.239
0.152 0.354 3.433
ATOMIC_POSITIONS crystal
Re 0.000 0.500 0.500
Br 0.000 0.000 0.000
Br 0.500 0.500 0.000
Cl 0.500 0.000 0.500
```

8.
A relaxed InCoIr2 crystal. Source: the Alexandria database, functional PBE. Values from VASP.

The total energy is -26.85 eV for the cell shown. The calculation puts the formation energy at 0.178 eV per atom. The calculation puts the total moment at 0.222 μB/atom.

```
&SYSTEM
  ibrav = 0, nat = 4, ntyp = 3
/
ATOMIC_SPECIES
Co 58.93 Co.upf
In 114.82 In.upf
Ir 192.22 Ir.upf
CELL_PARAMETERS angstrom
3.852 0.000 0.000
0.000 3.942 0.000
0.000 0.000 3.942
ATOMIC_POSITIONS crystal
Co 0.500 0.500 0.000
In 0.500 0.000 0.500
Ir 0.000 0.000 0.000
Ir 0.000 0.500 0.500
```

9.
A relaxed Sr2YAlSi crystal. Source: the Alexandria database, functional PBE. Values from VASP.

The total energy is -16.64 eV for the cell shown. The calculation puts the total moment at 0.173 μB/atom. The calculation puts the formation energy (no corrections) at 45.5 kJ per mole of atoms.

```
&SYSTEM
  ibrav = 0, nat = 5, ntyp = 4
/
ATOMIC_SPECIES
Y 88.91 Y.upf
Sr 87.62 Sr.upf
Si 28.09 Si.upf
Al 26.98 Al.upf
CELL_PARAMETERS angstrom
-3.017 1.866 -5.020
-5.331 -0.494 3.020
0.403 4.585 1.462
ATOMIC_POSITIONS crystal
Y 0.500 0.500 0.500
Sr 0.000 0.500 0.000
Sr 0.500 0.000 0.000
Si 0.000 0.000 0.500
Al 0.000 0.000 0.000
```

10.
A relaxed BaMnIn2 crystal. Source: the Alexandria database, functional PBE. Values from VASP.

The total energy is -16.81 eV for the cell shown. The calculation puts the formation energy at -0.060 eV per atom. The calculation puts the total moment at 1.075 μB/atom.

```
&SYSTEM
  ibrav = 0, nat = 4, ntyp = 3
/
ATOMIC_SPECIES
Ba 137.33 Ba.upf
In 114.82 In.upf
Mn 54.94 Mn.upf
CELL_PARAMETERS angstrom
-1.545 1.230 -4.329
0.018 -3.192 -3.528
-6.372 -2.439 -1.036
ATOMIC_POSITIONS crystal
Ba 0.750 0.750 0.750
In 0.958 0.958 0.125
In 0.542 0.542 0.375
Mn 0.250 0.250 0.250
```

11.
A relaxed Sr2Zn12CdCu3 crystal. Source: the Alexandria database, functional PBE. Values from VASP.

The total energy is -27.88 eV for the cell shown. The calculation puts the formation energy at 0.221 eV per atom. The calculation puts the total moment at 0.000 μB/atom.

```
&SYSTEM
  ibrav = 0, nat = 18, ntyp = 4
/
ATOMIC_SPECIES
Sr 87.62 Sr.upf
Zn 65.41 Zn.upf
Cd 112.41 Cd.upf
Cu 63.55 Cu.upf
CELL_PARAMETERS angstrom
-6.893 1.749 4.499
-1.700 -4.355 6.997
0.692 3.674 7.539
ATOMIC_POSITIONS crystal
Sr 0.607 0.607 0.607
Sr 0.393 0.393 0.393
Zn 0.335 0.335 0.864
Zn 0.874 0.874 0.402
Zn 0.402 0.874 0.874
Zn 0.864 0.335 0.335
Zn 0.874 0.402 0.874
Zn 0.335 0.864 0.335
Zn 0.665 0.665 0.136
Zn 0.126 0.126 0.598
Zn 0.598 0.126 0.126
Zn 0.136 0.665 0.665
Zn 0.126 0.598 0.126
Zn 0.665 0.136 0.665
Cd 0.000 0.000 0.000
Cu 0.500 0.000 0.000
Cu 0.000 0.500 0.000
Cu 0.000 0.000 0.500
```

12.
A relaxed RbMg7Pb12 crystal. Source: the Alexandria database, functional PBE. Values from VASP.

The total energy is -55.02 eV for the cell shown. The calculation puts the formation energy at 0.081 eV per atom. The calculation puts the total moment at 0.000 μB/atom.

```
&SYSTEM
  ibrav = 0, nat = 20, ntyp = 3
/
ATOMIC_SPECIES
Rb 85.47 Rb.upf
Mg 24.30 Mg.upf
Pb 207.20 Pb.upf
CELL_PARAMETERS angstrom
-9.373 2.644 0.861
3.829 -1.370 8.890
4.958 7.036 -4.635
ATOMIC_POSITIONS crystal
Rb 0.000 0.000 0.000
Mg 0.500 0.000 0.500
Mg 0.500 0.500 0.000
Mg 0.000 0.500 0.500
Mg 0.000 0.000 0.500
Mg 0.500 0.000 0.000
Mg 0.500 0.500 0.500
Mg 0.000 0.500 0.000
Pb 0.356 0.248 0.604
Pb 0.356 0.752 0.108
Pb 0.644 0.752 0.396
Pb 0.644 0.248 0.892
Pb 0.604 0.356 0.248
Pb 0.892 0.644 0.248
Pb 0.396 0.644 0.752
Pb 0.108 0.356 0.752
Pb 0.752 0.108 0.356
Pb 0.248 0.892 0.644
Pb 0.248 0.604 0.356
Pb 0.752 0.396 0.644
```

13.
A relaxed SbPdS4 crystal. Source: the Alexandria database, functional PBE. Values from VASP.

The total energy is -26.59 eV for the cell shown. The calculation puts the total moment at 0.000 μB/atom. The calculation puts the formation energy (no corrections) at -12.3 kJ per mole of atoms.

```
&SYSTEM
  ibrav = 0, nat = 6, ntyp = 3
/
ATOMIC_SPECIES
Sb 121.76 Sb.upf
Pd 106.42 Pd.upf
S 32.06 S.upf
CELL_PARAMETERS angstrom
-0.910 0.529 3.478
5.635 -1.578 1.714
1.899 5.848 -0.392
ATOMIC_POSITIONS crystal
Sb 0.000 0.000 0.000
Pd 0.500 0.000 0.500
S 0.000 0.777 0.655
S 0.500 0.240 0.810
S 0.500 0.760 0.190
S 0.000 0.223 0.345
```

14.
A relaxed Ba2Tl2Ag crystal. Source: the Alexandria database, functional PBE. Values from VASP.

The total energy is -25.90 eV for the cell shown. The calculation puts the formation energy at -0.305 eV per atom. The calculation puts the total moment at 0.000 μB/atom. The value obtained for the offset from the most stable computed form is 0.009 eV per atom.

```
&SYSTEM
  ibrav = 0, nat = 10, ntyp = 3
/
ATOMIC_SPECIES
Ba 137.33 Ba.upf
Tl 204.38 Tl.upf
Ag 107.87 Ag.upf
CELL_PARAMETERS angstrom
-3.918 -1.902 3.034
6.240 -3.155 1.438
-0.693 9.489 5.053
ATOMIC_POSITIONS crystal
Ba 0.657 0.315 0.029
Ba 0.394 0.788 0.606
Ba 0.343 0.685 0.971
Ba 0.606 0.212 0.394
Tl 0.970 0.940 0.847
Tl 0.891 0.783 0.348
Tl 0.030 0.060 0.153
Tl 0.109 0.217 0.652
Ag 0.274 0.548 0.268
Ag 0.726 0.452 0.732
```

15.
A relaxed V15Ga2Mo2 crystal. Source: the Alexandria database, functional PBE. Values from VASP.

The total energy is -159.61 eV for the cell shown. The calculation puts the formation energy at 0.257 eV per atom. The calculation puts the total moment at 0.000 μB/atom.

```
&SYSTEM
  ibrav = 0, nat = 19, ntyp = 3
/
ATOMIC_SPECIES
V 50.94 V.upf
Ga 69.72 Ga.upf
Mo 95.94 Mo.upf
CELL_PARAMETERS angstrom
5.076 -4.256 -0.157
5.076 4.256 -0.157
1.711 0.000 6.402
ATOMIC_POSITIONS crystal
V 0.500 0.000 0.000
V 0.000 0.000 0.500
V 0.000 0.500 0.000
V 0.000 0.296 0.704
V 0.296 0.704 0.000
V 0.704 0.000 0.296
V 0.704 0.296 0.000
V 0.296 0.000 0.704
V 0.000 0.704 0.296
V 0.837 0.376 0.376
V 0.376 0.376 0.837
V 0.376 0.837 0.376
V 0.163 0.624 0.624
V 0.624 0.624 0.163
V 0.624 0.163 0.624
Ga 0.692 0.692 0.692
Ga 0.308 0.308 0.308
Mo 0.902 0.902 0.902
Mo 0.098 0.098 0.098
```

16.
A relaxed ZrCr2Fe crystal. Source: the Alexandria database, functional PBE. Values from VASP.

The total energy is -35.30 eV for the cell shown. The calculation puts the formation energy at 0.239 eV per atom. The calculation puts the total moment at 0.249 μB/atom. The value obtained for the offset from the most stable computed form is 0.107 eV per atom.

```
&SYSTEM
  ibrav = 0, nat = 4, ntyp = 3
/
ATOMIC_SPECIES
Cr 52.00 Cr.upf
Fe 55.84 Fe.upf
Zr 91.22 Zr.upf
CELL_PARAMETERS angstrom
-1.486 -3.404 -1.044
2.241 -1.280 0.983
-1.350 -0.995 5.165
ATOMIC_POSITIONS crystal
Cr 0.000 0.030 0.058
Cr 0.500 0.236 0.242
Fe 0.000 0.479 0.454
Zr 0.500 0.755 0.746
```

17.
A relaxed RbMgNb2C crystal. Source: the Alexandria database, functional PBE. Values from VASP.

The total energy is -26.90 eV for the cell shown. The calculation puts the formation energy at 1.005 eV per atom. The calculation puts the total moment at 0.000 μB/atom.

```
&SYSTEM
  ibrav = 0, nat = 5, ntyp = 4
/
ATOMIC_SPECIES
C 12.01 C.upf
Nb 92.91 Nb.upf
Mg 24.30 Mg.upf
Rb 85.47 Rb.upf
CELL_PARAMETERS angstrom
4.439 0.000 0.000
0.000 5.261 0.000
0.000 0.000 4.439
ATOMIC_POSITIONS crystal
C 0.000 0.000 0.000
Nb 0.000 0.000 0.500
Nb 0.500 0.000 0.000
Mg 0.000 0.500 0.000
Rb 0.500 0.500 0.500
```

18.
A relaxed Th2NbZnN5 crystal. Source: the Alexandria database, functional PBE. Values from VASP.

The total energy is -154.33 eV for the cell shown. The calculation puts the total moment at 0.000 μB/atom. The calculation puts the formation energy (no corrections) at -100.3 kJ per mole of atoms.

```
&SYSTEM
  ibrav = 0, nat = 18, ntyp = 4
/
ATOMIC_SPECIES
Th 232.04 Th.upf
Nb 92.91 Nb.upf
Zn 65.41 Zn.upf
N 14.01 N.upf
CELL_PARAMETERS angstrom
-0.614 -1.427 -2.987
-5.197 -2.551 4.184
-5.965 7.941 -2.567
ATOMIC_POSITIONS crystal
Th 0.870 0.741 0.798
Th 0.113 0.226 0.686
Th 0.130 0.259 0.298
Th 0.887 0.774 0.186
Nb 0.795 0.590 0.505
Nb 0.205 0.410 0.005
Zn 0.528 0.057 0.971
Zn 0.472 0.943 0.471
N 0.355 0.710 0.006
N 0.696 0.392 0.868
N 0.498 0.996 0.779
N 0.286 0.572 0.649
N 0.941 0.882 0.562
N 0.645 0.290 0.506
N 0.304 0.608 0.368
N 0.502 0.004 0.279
N 0.714 0.428 0.149
N 0.059 0.118 0.062
```

19.
A relaxed Ce2PrTmAs4 crystal. Source: the Alexandria database, functional PBE. Values from VASP.

The total energy is -51.36 eV for the cell shown. The calculation puts the formation energy at -1.455 eV per atom. The calculation puts the total moment at 0.157 μB/atom.

```
&SYSTEM
  ibrav = 0, nat = 8, ntyp = 4
/
ATOMIC_SPECIES
Ce 140.12 Ce.upf
Pr 140.91 Pr.upf
Tm 168.93 Tm.upf
As 74.92 As.upf
CELL_PARAMETERS angstrom
4.204 0.000 0.000
0.000 7.270 -0.139
0.000 2.562 6.820
ATOMIC_POSITIONS crystal
Ce 0.000 0.000 0.000
Ce 0.500 0.000 0.500
Pr 0.500 0.500 0.000
Tm 0.000 0.500 0.500
As 0.000 0.753 0.742
As 0.000 0.247 0.258
As 0.500 0.747 0.258
As 0.500 0.253 0.742
```

20.
A relaxed SrLa2Ni crystal. Source: the Alexandria database, functional PBE. Values from VASP.

The total energy is -17.58 eV for the cell shown. The calculation puts the formation energy at -0.065 eV per atom. The calculation puts the total moment at 0.000 μB/atom. The value obtained for the offset from the most stable computed form is 0.043 eV per atom.

```
&SYSTEM
  ibrav = 0, nat = 4, ntyp = 3
/
ATOMIC_SPECIES
La 138.91 La.upf
Ni 58.69 Ni.upf
Sr 87.62 Sr.upf
CELL_PARAMETERS angstrom
-1.761 1.413 2.905
2.835 -0.916 2.163
4.207 8.861 -1.760
ATOMIC_POSITIONS crystal
La 0.000 0.000 0.092
La 0.000 0.000 0.408
Ni 0.500 0.500 0.250
Sr 0.500 0.500 0.750
```